Entry from Alexandria via LeMat-Bulk: a relaxed NiBiF3 crystal (GGA+U).

Calculated values
**E_tot**: -3.86 eV/atom
**Energy above the most stable polymorph in this dataset**: 0.000 eV per atom
**Volume**: 72.2 Å³/cell
**Fermi-level density of states**: 1.933 states/eV per cell
**Magnetization**: 2.03 μB/f.u.

```
data_NiBiF3
_space_group_name_H-M_alt 'P m -3 m'
_space_group_IT_number 221
_space_group_name_Hall '-P 4 2 3'
_cell_length_a 4.163
_cell_length_b 4.163
_cell_length_c 4.163
_cell_angle_alpha 90.00
_cell_angle_beta 90.00
_cell_angle_gamma 90.00
loop_
_atom_site_label
_atom_site_type_symbol
_atom_site_fract_x
_atom_site_fract_y
_atom_site_fract_z
Ni1 Ni 0.000 0.000 0.000
Bi1 Bi 0.500 0.500 0.500
F1 F 0.000 0.000 0.500
```